Entry 1:
Computed, not measured: LiPIrS2 at its PBEsol-relaxed geometry at the SCAN level of DFT.

For the uncorrected formation energy, the calculation gives 230.2 meV/atom.

abc: 4.8970 4.8970 4.3392
angles: 90.00 90.00 90.00
Last column: nearest neighbours and their distance in Å.
Space group P4/mmm (No. 123)
Inequivalent atoms, fractional coordinates:
Li 0.0000 0.0000 0.0000 x1  8 S 3.27, 4 P 3.46
P 0.5000 0.5000 0.0000 x1  2 Ir 2.17
Ir 0.5000 0.5000 0.5000 x1  2 P 2.17
S 0.0000 0.5000 0.5000 x2  2 Ir 2.45


Entry 2:
Computed, not measured: NaVTeO5 at its PBEsol-relaxed geometry at the SCAN level of DFT.

For the uncorrected formation energy, the calculation gives -1990.2 meV/atom.

abc: 5.8537 11.2242 6.7412
angles: 90.00 102.61 90.00
Last column: nearest neighbours and their distance in Å.
Space group P2_1/c (No. 14)
Inequivalent atoms, fractional coordinates:
Na 0.1787 0.2093 0.1849 x4  6 O 2.40-2.67
V 0.3300 0.6229 0.5887 x4  4 O 1.65-1.81
Te 0.2378 0.5659 0.0892 x4  4 O 1.94-2.15
O 0.1213 0.0938 0.5176 x4  2 Te 1.94-2.09
O 0.1443 0.7160 0.6682 x4  1 V 1.68
O 0.1698 0.5525 0.3591 x4  1 V 1.81, 1 Te 1.95
O 0.4326 0.5168 0.7811 x4  1 V 1.77
O 0.4529 0.2019 0.9619 x4  1 V 1.65